i:
CaAc4Mg after structural relaxation, computed with PBE.

Cell lengths 7.2733, 7.2733, 7.2733 Å; angles 60.00, 60.00, 60.00 degrees
Last column: nearest neighbours and their distance in Å.
Atoms (fractional coordinates):
Ac: 0.6256 0.6256 0.6256  6 Ac 3.62-3.65
Ac: 0.6256 0.6256 0.1233  6 Ac 3.62-3.65
Ac: 0.6256 0.1233 0.6256  6 Ac 3.62-3.65
Ac: 0.1233 0.6256 0.6256  6 Ac 3.62-3.65
Mg: 0.0000 0.0000 0.0000  12 Ac 4.26, 4 Ca 4.45
Ca: 0.2500 0.2500 0.2500  12 Ac 4.27, 4 Mg 4.45

Values from the calculation:
Symmetry   F-43m, No. 216
Calculated volume   272.1 Å³ per cell

=====

ii:
CaAc4Mg after structural relaxation, computed with PBE.

Cell lengths 4.0132, 4.0132, 15.4347 Å; angles 90.00, 90.00, 90.00 degrees
Last column: nearest neighbours and their distance in Å.
Atoms (fractional coordinates):
Ca: 0.0000 0.0000 0.0000  8 Ac 3.98, 4 Ca 4.01
Mg: 0.5000 0.5000 0.5000  8 Ac 3.59, 4 Mg 4.01
Ac: 0.0000 0.0000 0.6423  4 Mg 3.59, 8 Ac 3.94-4.01
Ac: 0.5000 0.5000 0.1806  8 Ac 3.94-4.01, 4 Ca 3.98
Ac: 0.0000 0.0000 0.3577  4 Mg 3.59, 8 Ac 3.94-4.01
Ac: 0.5000 0.5000 0.8194  8 Ac 3.94-4.01, 4 Ca 3.98

Values from the calculation:
Symmetry   P4/mmm, No. 123
Calculated volume   248.6 Å³ per cell

=====

Relative energies, unit meV per atom: i 334; ii 0

=====

i:
Ca2AcMg2 after structural relaxation, computed with PBE.

Cell lengths 3.7615, 6.0988, 15.6045 Å; angles 94.49, 90.00, 90.00 degrees
Last column: nearest neighbours and their distance in Å.
Atoms (fractional coordinates):
Ca: 0.2500 0.2563 0.5317  4 Mg 3.51-3.63, 6 Ca 3.72-3.76, 2 Ac 3.92
Mg: 0.2500 0.7814 0.6587  5 Ca 3.40-3.63, 2 Mg 3.76
Ca: 0.2500 0.8247 0.8772  5 Mg 3.23-3.47
Ca: 0.7500 0.1753 0.1228  5 Mg 3.23-3.47
Mg: 0.7500 0.2186 0.3413  5 Ca 3.40-3.63, 2 Mg 3.76
Ac: 0.7500 0.3014 0.7525  6 Mg 3.62-3.87, 2 Ac 3.76, 2 Ca 3.92
Mg: 0.7500 0.6650 0.0487  2 Mg 3.07, 2 Ca 3.23-3.29
Ac: 0.2500 0.6986 0.2475  6 Mg 3.62-3.87, 2 Ac 3.76, 2 Ca 3.92
Ca: 0.7500 0.7437 0.4683  4 Mg 3.51-3.63, 6 Ca 3.72-3.76, 2 Ac 3.92
Mg: 0.2500 0.3350 0.9513  2 Mg 3.07, 2 Ca 3.23-3.29

Values from the calculation:
Symmetry   P2_1/m, No. 11
Calculated volume   356.9 Å³ per cell

=====

ii:
Ca2AcMg2 after structural relaxation, computed with PBE.

Cell lengths 3.9801, 5.8897, 14.9615 Å; angles 90.00, 97.71, 90.00 degrees
Last column: nearest neighbours and their distance in Å.
Atoms (fractional coordinates):
Mg: 0.5488 0.2500 0.0954  6 Ca 3.44-3.55, 2 Ac 3.53-3.54
Mg: 0.4512 0.7500 0.9046  6 Ca 3.44-3.55, 2 Ac 3.53-3.54
Ca: 0.7669 0.2500 0.5329  2 Mg 3.43-3.44, 4 Ca 3.68-3.69
Ac: 0.1490 0.2500 0.2925  6 Mg 3.53-3.56, 2 Ca 3.92
Ca: 0.2331 0.7500 0.4671  2 Mg 3.43-3.44, 4 Ca 3.68-3.69
Mg: 0.6409 0.7500 0.2783  4 Ca 3.38-3.44, 4 Ac 3.56
Mg: 0.3591 0.2500 0.7217  4 Ca 3.38-3.44, 4 Ac 3.56
Ac: 0.8510 0.7500 0.7075  6 Mg 3.53-3.56, 2 Ca 3.92
Ca: 0.9522 0.2500 0.9061  8 Mg 3.38-3.55
Ca: 0.0478 0.7500 0.0939  8 Mg 3.38-3.55

Values from the calculation:
Symmetry   P2_1/m, No. 11
Calculated volume   347.5 Å³ per cell

=====

Relative energies, unit meV per atom: i 58; ii 0

=====

i:
CaAcMg after structural relaxation, computed with PBE.

Cell lengths 5.6399, 5.6399, 5.6418 Å; angles 90.00, 120.01, 119.98 degrees
Last column: nearest neighbours and their distance in Å.
Atoms (fractional coordinates):
Mg: 0.4445 0.2222 0.6667  4 Ca 3.45-3.46, 4 Ac 3.45
Ac: 0.9444 0.4722 0.4166  4 Mg 3.45
Ca: 0.9444 0.9722 0.9166  4 Mg 3.45-3.46

Values from the calculation:
Symmetry   F-43m, No. 216
Calculated volume   126.9 Å³ per cell

=====

ii:
CaAcMg after structural relaxation, computed with PBE.

Cell lengths 4.0436, 4.0444, 13.4423 Å; angles 90.00, 89.99, 90.01 degrees
Last column: nearest neighbours and their distance in Å.
Atoms (fractional coordinates):
Ca: 0.3722 0.7910 0.6593  4 Mg 3.41
Mg: 0.8726 0.2914 0.5215  4 Ca 3.41, 4 Ac 3.60
Ac: 0.3723 0.7911 0.3587  4 Mg 3.60, 4 Ac 3.97
Ac: 0.8723 0.2910 0.1537  4 Mg 3.60, 4 Ac 3.97
Ca: 0.8723 0.2908 0.8532  4 Mg 3.40-3.41
Mg: 0.3729 0.7913 0.9906  4 Ca 3.40-3.41, 4 Ac 3.60

Values from the calculation:
Symmetry   P4/nmm, No. 129
Calculated volume   219.8 Å³ per cell

=====

Relative energies, unit meV per atom: i 286; ii 0

=====

i:
CaAcMg after structural relaxation, computed with PBE.

Cell lengths 5.1659, 5.1659, 8.9191 Å; angles 90.00, 90.00, 90.00 degrees
Last column: nearest neighbours and their distance in Å.
Atoms (fractional coordinates):
Mg: 0.0000 0.5000 0.2312  5 Ca 3.40-3.72, 4 Ac 3.52
Mg: 0.5000 0.0000 0.7688  5 Ca 3.40-3.72, 4 Ac 3.52
Ca: 0.0000 0.5000 0.8504  5 Mg 3.40-3.72
Ac: 0.0000 0.0000 0.5000  4 Mg 3.52, 4 Ac 3.65
Ac: 0.5000 0.5000 0.5000  4 Mg 3.52, 4 Ac 3.65
Ca: 0.5000 0.0000 0.1496  5 Mg 3.40-3.72

Values from the calculation:
Symmetry   P4/nmm, No. 129
Calculated volume   238.0 Å³ per cell

=====

ii:
CaAcMg after structural relaxation, computed with PBE.

Cell lengths 3.9995, 3.9995, 7.4315 Å; angles 105.61, 105.61, 90.00 degrees
Last column: nearest neighbours and their distance in Å.
Atoms (fractional coordinates):
Ac: 0.3169 0.3169 0.6338  4 Mg 3.55
Ca: 0.0227 0.0227 0.0454  4 Mg 3.40
Mg: 0.6604 0.6604 0.3208  4 Ca 3.40, 4 Ac 3.55

Values from the calculation:
Symmetry   I4mm, No. 107
Calculated volume   109.9 Å³ per cell

=====

iii:
CaAcMg after structural relaxation, computed with PBE.

Cell lengths 3.7539, 5.8412, 5.8412 Å; angles 120.00, 90.00, 90.00 degrees
Last column: nearest neighbours and their distance in Å.
Atoms (fractional coordinates):
Mg: 0.5015 0.6667 0.3333  3 Ca 3.37, 2 Mg 3.75
Ac: 0.9996 0.0000 0.0000  2 Ac 3.75, 6 Mg 3.86, 6 Ca 3.86
Ca: 0.4989 0.3333 0.6667  3 Mg 3.37, 2 Ca 3.75

Values from the calculation:
Symmetry   P3m1, No. 156
Calculated volume   110.9 Å³ per cell

=====

Relative energies, unit meV per atom: i 137; ii 0; iii 53

=====

i:
Ca3Ac2Mg4 after structural relaxation, computed with PBE.

Cell lengths 7.0022, 8.7988, 10.9295 Å; angles 90.00, 108.68, 90.00 degrees
Last column: nearest neighbours and their distance in Å.
Atoms (fractional coordinates):
Mg: 0.3444 0.4906 0.6889  5 Ca 3.22-3.45, 2 Mg 3.27
Mg: 0.8444 0.0094 0.6889  5 Ca 3.22-3.45, 2 Mg 3.27
Ac: 0.0887 0.6098 0.1773  5 Mg 3.62-3.87, 1 Ca 3.89
Mg: 0.6694 0.7500 0.8389  4 Mg 3.27-3.50, 3 Ca 3.27-3.37, 2 Ac 3.62
Ac: 0.4113 0.1098 0.8227  5 Mg 3.62-3.87, 1 Ca 3.89
Mg: 0.1556 0.9906 0.3111  5 Ca 3.22-3.45, 2 Mg 3.27
Mg: 0.1694 0.7500 0.8389  4 Mg 3.27-3.50, 3 Ca 3.27-3.37, 2 Ac 3.62
Ca: 0.5065 0.7500 0.5129  5 Mg 3.37-3.45, 2 Ca 3.50
Ca: 0.4935 0.2500 0.4871  5 Mg 3.37-3.45, 2 Ca 3.50
Ca: 0.0065 0.7500 0.5129  5 Mg 3.37-3.45, 2 Ca 3.50
Mg: 0.8306 0.2500 0.1611  4 Mg 3.27-3.50, 3 Ca 3.27-3.37, 2 Ac 3.62
Ac: 0.9113 0.3902 0.8227  5 Mg 3.62-3.87, 1 Ca 3.89
Mg: 0.3306 0.2500 0.1611  4 Mg 3.27-3.50, 3 Ca 3.27-3.37, 2 Ac 3.62
Ac: 0.5887 0.8902 0.1773  5 Mg 3.62-3.87, 1 Ca 3.89
Ca: 0.5000 0.5000 0.0000  6 Mg 3.22-3.27
Mg: 0.6556 0.5094 0.3111  5 Ca 3.22-3.45, 2 Mg 3.27
Ca: 0.9935 0.2500 0.4871  5 Mg 3.37-3.45, 2 Ca 3.50
Ca: 0.0000 0.0000 0.0000  6 Mg 3.22-3.27

Values from the calculation:
Symmetry   Cmce, No. 64
Calculated volume   637.9 Å³ per cell

=====

ii:
Ca3Ac2Mg4 after structural relaxation, computed with PBE.

Cell lengths 5.7508, 5.7500, 10.8392 Å; angles 90.06, 90.01, 59.99 degrees
Last column: nearest neighbours and their distance in Å.
Atoms (fractional coordinates):
Ac: 0.6664 0.6672 0.2119  7 Mg 3.41-3.64
Mg: 0.3331 0.3338 0.1031  4 Ac 3.41-3.52, 4 Ca 3.45-3.50
Ca: 0.3330 0.3341 0.4215  4 Mg 3.41-3.45, 3 Ca 3.73-3.74
Ca: 0.0000 0.0000 0.0000  8 Mg 3.50-3.78
Mg: 0.9995 0.0010 0.3490  1 Mg 3.27, 3 Ca 3.41, 3 Ac 3.64
Ca: 0.6670 0.6659 0.5785  4 Mg 3.41-3.45, 3 Ca 3.73-3.74
Mg: 0.0005 0.9990 0.6510  1 Mg 3.27, 3 Ca 3.41, 3 Ac 3.64
Mg: 0.6669 0.6662 0.8969  4 Ac 3.41-3.52, 4 Ca 3.45-3.50
Ac: 0.3336 0.3328 0.7881  7 Mg 3.41-3.64

Values from the calculation:
Symmetry   C2/m, No. 12
Calculated volume   310.4 Å³ per cell

=====

Relative energies, unit meV per atom: i 80; ii 0

=====

i:
CaAcPrMg after structural relaxation, computed with PBE.

Cell lengths 5.9081, 5.9081, 5.9081 Å; angles 60.00, 60.00, 60.00 degrees
Last column: nearest neighbours and their distance in Å.
Atoms (fractional coordinates):
Ca: 0.7500 0.7500 0.7500  4 Ac 3.62, 4 Mg 3.62
Ac: 0.5000 0.5000 0.5000  4 Ca 3.62, 4 Pr 3.62
Pr: 0.2500 0.2500 0.2500  4 Ac 3.62, 4 Mg 3.62
Mg: 0.0000 0.0000 0.0000  4 Pr 3.62, 4 Ca 3.62

Values from the calculation:
Symmetry   F-43m, No. 216
Calculated volume   145.8 Å³ per cell

=====

ii:
CaAcPrMg after structural relaxation, computed with PBE.

Cell lengths 3.8404, 3.8404, 9.9119 Å; angles 90.00, 90.00, 90.00 degrees
Last column: nearest neighbours and their distance in Å.
Atoms (fractional coordinates):
Pr: 0.5000 0.5000 0.3535  4 Mg 3.43, 4 Ac 3.80, 4 Pr 3.84
Ca: 0.5000 0.5000 0.7808  4 Mg 3.45, 4 Ca 3.84
Ac: 0.0000 0.0000 0.0847  4 Pr 3.80, 4 Ac 3.84, 4 Ca 4.06
Mg: 0.0000 0.0000 0.5657  4 Pr 3.43, 4 Ca 3.45, 4 Mg 3.84

Values from the calculation:
Symmetry   P4mm, No. 99
Calculated volume   146.2 Å³ per cell

=====

Relative energies, unit meV per atom: i 135; ii 0